Density functional theory data (PBE) for AcCeSi after structural relaxation.

Output
volume	28.9	Å³/atom
energy above the lowest structure with this stoichiometry	0.00	eV per formula unit
space group	P2_1/m
energy relative to the elements, uncorrected	-45	kJ per mole of atoms

Structure (extended XYZ):
```
6
Lattice="4.481 0.000 0.000 0.000 4.438 0.000 -0.054 0.000 8.709" Properties=species:S:1:pos:R:3 pbc="T T T"
Ac 1.091 1.109 3.139
Ac 3.337 3.328 5.569
Ce 0.960 3.328 0.029
Ce 3.467 1.109 8.679
Si 1.135 1.109 6.566
Si 3.293 3.328 2.142
```

---

Density functional theory data (PBE) for Ac2CeSi6 after structural relaxation.

Output
volume	22.3	Å³/atom
space group	P6/mmm
energy relative to the elements, uncorrected	-53	kJ per mole of atoms

Structure (extended XYZ):
```
9
Lattice="7.223 0.000 0.000 -3.611 6.255 0.000 0.000 0.000 4.445" Properties=species:S:1:pos:R:3 pbc="T T T"
Ac 0.000 4.170 0.000
Ac 3.611 2.085 0.000
Ce 0.000 0.000 0.000
Si -1.183 2.049 2.223
Si -2.428 4.206 2.223
Si 2.366 0.000 2.223
Si 1.183 2.049 2.223
Si 4.857 0.000 2.223
Si 2.428 4.206 2.223
```

---

Density functional theory data (PBE) for AcCe2Si2 after structural relaxation.

Output
volume	25.2	Å³/atom
space group	C2/c
energy relative to the elements, uncorrected	-44	kJ per mole of atoms

Structure (extended XYZ):
```
10
Lattice="4.198 -3.736 0.000 4.198 3.736 0.000 -2.420 0.000 8.033" Properties=species:S:1:pos:R:3 pbc="T T T"
Ac 2.383 2.137 6.024
Ac 3.593 -2.137 2.008
Ce 2.234 0.465 0.055
Ce 1.024 -0.465 4.071
Ce 4.952 0.465 3.962
Ce 3.742 -0.465 7.978
Si 2.589 1.998 2.741
Si 4.597 1.998 1.276
Si 1.379 -1.998 6.757
Si 3.387 -1.998 5.292
```